No. 1
Crystalline SrBe2As at its relaxed geometry, computed with GGA-PBE.

Computed properties:
Crystal system = monoclinic
N(E_F) = 1.929 states/eV/f.u.
Formation energy from the elements = 81 meV/atom

abc: 7.743 3.696 5.680
angles: 90.00 108.35 90.00
Space group C2/m (No. 12)
Unique sites:
Sr (0.000, 0.000, 0.000) [2 per cell]
Be (0.216, 0.000, 0.592) [4 per cell]
As (0.000, 0.500, 0.500) [2 per cell]

---

No. 2
Crystalline RbCdInHg3 at its relaxed geometry, computed with GGA-PBE.

Computed properties:
Crystal system = orthorhombic
N(E_F) = 2.044 states/eV/f.u.
Formation energy from the elements = -65 meV/atom

abc: 7.387 13.936 8.108
angles: 90.00 90.00 90.00
Space group Cmcm (No. 63)
Unique sites:
Rb (0.000, 0.202, 0.250) [4 per cell]
Cd (0.000, 0.117, 0.750) [4 per cell]
In (0.000, 0.462, 0.250) [4 per cell]
Hg (0.000, 0.324, 0.750) [4 per cell]
Hg (0.213, 0.000, 0.000) [8 per cell]

---

Number 1: VASP energy -3.37 eV per atom. Number 2: VASP energy -0.99 eV per atom.